Record 1
An optimized crystal structure of Pd2SO. Source: Alexandria via LeMat-Bulk, functional PBE-GGA.

```
Pd2SO
1.0
-2.362 -3.391 0.519
-4.151 0.327 -0.047
-2.173 -1.534 -3.204
Pd O S
2 1 1
Direct
0.750 0.750 0.750
0.250 0.250 0.250
0.000 0.000 0.000
0.500 0.500 0.500
```

Results
The symmetry is Fm-3m, No. 225. The uncorrected formation energy comes out at 1.92 kcal/mol of atoms.


Record 2
An optimized crystal structure of TaOs2Pt. Source: Alexandria via LeMat-Bulk, functional PBE-GGA.

```
TaOs2Pt
1.0
4.847 -0.001 0.003
4.017 2.714 0.003
0.844 0.258 4.718
Os Ta Pt
2 1 1
Direct
0.255 0.255 0.225
0.996 0.996 0.026
0.748 0.748 0.747
0.501 0.501 0.503
```

Results
The symmetry is Cm, No. 8. For the formation enthalpy at 0 K, the calculation gives -0.150 eV per atom.


Record 3
An optimized crystal structure of Cs2BrCl4. Source: Alexandria via LeMat-Bulk, functional PBE-GGA.

```
Cs2BrCl4
1.0
-2.594 -2.213 3.688
3.943 0.496 3.071
-3.036 8.825 6.581
Cl Cs Br
4 2 1
Direct
0.500 0.000 0.000
0.177 0.177 0.647
0.000 0.500 0.000
0.823 0.823 0.353
0.664 0.664 0.672
0.336 0.336 0.328
0.000 0.000 0.000
```

Results
The symmetry is I4/mmm, No. 139. The uncorrected formation energy comes out at -24.54 kcal/mol of atoms.


Record 4
An optimized crystal structure of LaAlCd. Source: Alexandria via LeMat-Bulk, functional PBE-GGA.

```
LaAlCd
1.0
5.682 0.000 -0.013
0.000 3.738 0.000
-0.818 0.001 7.629
Al Cd La
2 2 2
Direct
0.387 0.118 0.382
0.191 0.118 0.706
0.685 0.118 0.711
0.976 0.118 0.049
0.908 0.618 0.407
0.455 0.618 0.027
```

Results
The symmetry is Pm, No. 6. For the formation enthalpy at 0 K, the calculation gives -0.210 eV per atom.


Record 5
An optimized crystal structure of Ca2SmGa4. Source: Alexandria via LeMat-Bulk, functional PBE-GGA.

```
Ca2SmGa4
1.0
-0.446 1.970 3.811
-4.102 0.029 -0.495
1.694 -9.482 2.659
Ga Ca Sm
4 2 1
Direct
0.639 0.639 0.279
0.361 0.361 0.721
0.065 0.565 0.130
0.935 0.435 0.870
0.813 0.813 0.625
0.187 0.187 0.375
0.500 0.000 0.000
```

Results
The symmetry is Immm, No. 71. For the formation enthalpy at 0 K, the calculation gives -0.554 eV per atom.


Record 6
An optimized crystal structure of KC3. Source: Alexandria via LeMat-Bulk, functional PBE-GGA.

```
KC3
1.0
-4.846 3.080 -0.709
1.839 -3.511 -4.214
-2.136 -2.999 1.567
C K
6 2
Direct
0.176 0.088 0.250
0.824 0.912 0.750
0.912 0.088 0.250
0.088 0.912 0.750
0.912 0.824 0.250
0.088 0.176 0.750
0.333 0.667 0.250
0.667 0.333 0.750
```

Results
The symmetry is P6_3/mmc, No. 194. For the formation enthalpy at 0 K, the calculation gives 1.863 eV per atom.


Record 7
An optimized crystal structure of Ba2ZnPt2. Source: Alexandria via LeMat-Bulk, functional PBE-GGA.

```
Ba2ZnPt2
1.0
7.952 0.000 0.000
0.000 7.952 0.000
0.000 0.000 4.467
Pt Ba Zn
4 4 2
Direct
0.373 0.873 0.000
0.127 0.373 0.000
0.627 0.127 0.000
0.873 0.627 0.000
0.174 0.674 0.500
0.826 0.326 0.500
0.326 0.174 0.500
0.674 0.826 0.500
0.500 0.500 0.000
0.000 0.000 0.000
```

Results
The symmetry is P4/mbm, No. 127. For the formation enthalpy at 0 K, the calculation gives -0.508 eV per atom.


Record 8
An optimized crystal structure of YHo2Tm8. Source: Alexandria via LeMat-Bulk, functional PBE-GGA.

```
YHo2Tm8
1.0
5.178 0.000 -1.572
-0.984 7.286 -3.240
-0.032 -0.339 9.207
Ho Tm Y
2 8 1
Direct
0.201 0.701 0.403
0.799 0.299 0.597
0.000 0.706 0.000
0.361 0.153 0.721
0.639 0.432 0.279
0.000 0.294 0.000
0.361 0.568 0.721
0.839 0.839 0.678
0.639 0.847 0.279
0.161 0.161 0.322
0.500 0.000 0.000
```

Results
The symmetry is Immm, No. 71. For the formation enthalpy at 0 K, the calculation gives 0.123 eV per atom.


Number 1: uncorrected energy -4.7846 eV per atom, total magnetization 0.000 μB/f.u.. Number 2: uncorrected energy -10.2382 eV per atom, total magnetization 0.000 μB/f.u.. Number 3: uncorrected energy -2.6024 eV per atom, total magnetization 0.340 μB/f.u.. Number 4: uncorrected energy -3.4049 eV per atom, total magnetization 0.000 μB/f.u.. Number 5: uncorrected energy -3.5294 eV per atom, total magnetization 0.000 μB/f.u.. Number 6: uncorrected energy -5.3289 eV per atom, total magnetization 0.000 μB/f.u.. Number 7: uncorrected energy -3.9480 eV per atom, total magnetization 0.000 μB/f.u.. Number 8: uncorrected energy -4.5486 eV per atom, total magnetization 0.000 μB/f.u..